No. 1
{
  "formula": "Hf8PbC2",
  "functional": "PBE",
  "state": "relaxed",
  "formation_energy_ev_per_atom": 0.079,
  "lattice_angstrom": [[-2.508, 2.913, 7.212], [2.508, -2.913, 7.212], [2.508, 2.913, -7.212]],
  "species": ["Hf", "Hf", "Hf", "Hf", "Hf", "Hf", "Hf", "Hf", "Pb", "C", "C"],
  "frac_coords": [[0.118, 0.118, 0.000], [0.158, 0.397, 0.761], [0.276, 0.776, 0.500], [0.364, 0.603, 0.761], [0.636, 0.397, 0.239], [0.724, 0.224, 0.500], [0.842, 0.603, 0.239], [0.882, 0.882, 0.000], [0.500, 0.000, 0.500], [0.271, 0.271, 0.000], [0.729, 0.729, 0.000]]
}



No. 2
{
  "formula": "NaLa2ScAg",
  "functional": "PBE",
  "state": "relaxed",
  "formation_energy_ev_per_atom": 0.917,
  "lattice_angstrom": [[5.731, 0.000, 0.000], [0.000, 5.731, 0.000], [0.000, 0.000, 5.215]],
  "species": ["Na", "La", "La", "Sc", "Ag"],
  "frac_coords": [[0.000, 0.000, 0.000], [0.000, 0.500, 0.000], [0.500, 0.000, 0.000], [0.000, 0.000, 0.500], [0.500, 0.500, 0.500]]
}



No. 3
{
  "formula": "BaSrSc2Te",
  "functional": "PBE",
  "state": "relaxed",
  "raw_formation_energy_ev_per_fu": 2.838,
  "lattice_angstrom": [[5.543, 0.000, 0.000], [0.000, 5.543, 0.000], [0.000, 0.000, 6.384]],
  "species": ["Ba", "Sr", "Sc", "Sc", "Te"],
  "frac_coords": [[0.000, 0.000, 0.000], [0.500, 0.500, 0.500], [0.000, 0.500, 0.000], [0.500, 0.000, 0.000], [0.000, 0.000, 0.500]]
}



No. 4
{
  "formula": "Tl3SnSb",
  "functional": "PBE",
  "state": "relaxed",
  "raw_formation_energy_ev_per_fu": 2.277,
  "lattice_angstrom": [[5.744, 0.000, 0.000], [0.000, 5.744, 0.000], [0.000, 0.000, 5.744]],
  "species": ["Tl", "Tl", "Tl", "Sn", "Sb"],
  "frac_coords": [[0.000, 0.000, 0.500], [0.000, 0.500, 0.000], [0.500, 0.000, 0.000], [0.000, 0.000, 0.000], [0.500, 0.500, 0.500]]
}